Crystalline Te2MoN at its relaxed geometry, computed with GGA-PBE.

abc: 3.1744 3.1744 26.1436
angles: 90.00 90.00 120.00
Space group R-3m (No. 166, hexagonal axes)
Symmetry-distinct sites (fractional):
1 Te 0.0000 0.0000 0.1031 x6
2 Mo 0.0000 0.0000 0.0000 x3
3 N 0.0000 0.0000 0.5000 x3

Calculated values
ΔE_f (raw) = 1389 meV/atom
M_tot = 0.000 μB per atom